Entry 1:
Crystalline CoAs2HPb at its relaxed geometry. Source: the Alexandria database, functional PBE.

final energy	-3.982	eV/atom
ρ	8.275	g cm⁻³
SG	P4/mmm, No. 123

Unit cell a=4.1513 b=4.1513 c=4.8558 alpha=90.00 beta=90.00 gamma=90.00
Fractional coordinates of all 5 atoms:
Co  0.0000  0.0000  0.0000
As  0.0000  0.5000  0.5000
As  0.5000  0.0000  0.5000
H  0.5000  0.5000  0.5000
Pb  0.5000  0.5000  0.0000



Entry 2:
Crystalline CoAsHPd2 at its relaxed geometry. Source: the Alexandria database, functional PBE.

final energy	-5.096	eV/atom
ρ	9.536	g cm⁻³
SG	P4/mmm, No. 123

Unit cell a=3.9750 b=3.9750 c=3.8320 alpha=90.00 beta=90.00 gamma=90.00
Fractional coordinates of all 5 atoms:
Co  0.0000  0.0000  0.0000
As  0.5000  0.5000  0.0000
H  0.0000  0.0000  0.5000
Pd  0.0000  0.5000  0.5000
Pd  0.5000  0.0000  0.5000



Entry 3:
Crystalline PmCo2AsH at its relaxed geometry. Source: the Alexandria database, functional PBE.

final energy	-5.930	eV/atom
ρ	8.376	g cm⁻³
SG	Cmcm, No. 63

Unit cell a=5.5322 b=5.5322 c=6.8152 alpha=90.00 beta=90.00 gamma=139.91
Fractional coordinates of all 10 atoms:
Pm  0.0588  0.9412  0.7500
Pm  0.9412  0.0588  0.2500
Co  0.3361  0.6639  0.5581
Co  0.3361  0.6639  0.9419
Co  0.6639  0.3361  0.0581
Co  0.6639  0.3361  0.4419
As  0.2226  0.7774  0.2500
As  0.7774  0.2226  0.7500
H  0.5000  0.5000  0.0000
H  0.5000  0.5000  0.5000



Entry 4:
Crystalline PmCoAsH2 at its relaxed geometry. Source: the Alexandria database, functional PBE.

final energy	-5.226	eV/atom
ρ	7.628	g cm⁻³
SG	Cmcm, No. 63

Unit cell a=5.5269 b=5.5269 c=6.1179 alpha=90.00 beta=90.00 gamma=139.13
Fractional coordinates of all 10 atoms:
Pm  0.2148  0.7852  0.7500
Pm  0.7852  0.2148  0.2500
Co  0.5000  0.5000  0.0000
Co  0.5000  0.5000  0.5000
As  0.0620  0.9380  0.2500
As  0.9380  0.0620  0.7500
H  0.3468  0.6532  0.0562
H  0.3468  0.6532  0.4438
H  0.6532  0.3468  0.5562
H  0.6532  0.3468  0.9438



Entry 5:
Crystalline PuCoAsH2 at its relaxed geometry. Source: the Alexandria database, functional PBE.

final energy	-7.040	eV/atom
ρ	10.938	g cm⁻³
SG	Cmcm, No. 63

Unit cell a=5.4862 b=5.4862 c=5.7899 alpha=90.00 beta=90.00 gamma=138.56
Fractional coordinates of all 10 atoms:
Pu  0.2090  0.7910  0.7500
Pu  0.7910  0.2090  0.2500
Co  0.5000  0.5000  0.0000
Co  0.5000  0.5000  0.5000
As  0.0724  0.9276  0.2500
As  0.9276  0.0724  0.7500
H  0.3446  0.6554  0.0639
H  0.3446  0.6554  0.4361
H  0.6554  0.3446  0.5639
H  0.6554  0.3446  0.9361



Entry 6:
Crystalline Co2AsHRh at its relaxed geometry. Source: the Alexandria database, functional PBE.

final energy	-5.955	eV/atom
ρ	9.528	g cm⁻³
SG	P4/mmm, No. 123

Unit cell a=3.7040 b=3.7040 c=3.7692 alpha=90.00 beta=90.00 gamma=90.00
Fractional coordinates of all 5 atoms:
Co  0.0000  0.5000  0.0000
Co  0.5000  0.0000  0.0000
As  0.0000  0.0000  0.5000
H  0.5000  0.5000  0.0000
Rh  0.5000  0.5000  0.5000